[1]
BeZn2Pt | GGA-PBEsol | optimized geometry

Computed properties:
- Theoretical density: 11.01 g/cm3
- Formation energy: -0.32 eV/atom

a b c (Å): 2.849 2.849 6.223
angles (deg): 90.00 90.00 90.00
Space group P4mm (No. 99)
Unique sites:
Be: 0.000 0.000 0.000 x1
Zn: 0.000 0.000 0.484 x1
Zn: 0.500 0.500 0.759 x1
Pt: 0.500 0.500 0.192 x1

=====

[2]
ReRu2W | GGA-PBEsol | optimized geometry

Computed properties:
- Distance to the lowest polymorph of the same formula: 7 meV per atom
- Theoretical density: 16.69 g/cm3
- Formation energy: 0.03 eV/atom

a b c (Å): 3.856 3.856 7.655
angles (deg): 90.00 90.00 90.00
Space group I4/mmm (No. 139)
Unique sites:
Re: 0.000 0.000 0.000 x2
Ru: 0.000 0.500 0.250 x4
W: 0.000 0.000 0.500 x2

=====

[3]
Sc2CdSe4 | GGA-PBEsol | optimized geometry

Computed properties:
- Electronic total energy: -5.64 eV per atom
- Theoretical density: 4.94 g/cm3

a b c (Å): 11.173 11.173 11.173
angles (deg): 90.00 90.00 90.00
Space group Fd-3m (No. 227, origin choice 2)
Unique sites:
Sc: 0.000 0.000 0.000 x16
Cd: 0.125 0.125 0.625 x8
Se: 0.010 0.010 0.240 x32

=====

[4]
IBr2Cl | GGA-PBEsol | optimized geometry

Computed properties:
- Electronic total energy: -1.45 eV per atom
- Theoretical density: 5.45 g/cm3

a b c (Å): 7.325 7.325 7.325
angles (deg): 90.00 90.00 90.00
Space group Fm-3m (No. 225)
Unique sites:
I: 0.000 0.000 0.000 x4
Br: 0.250 0.250 0.250 x8
Cl: 0.000 0.000 0.500 x4

=====

[5]
IrCCl2 | GGA-PBEsol | optimized geometry

Computed properties:
- Electronic total energy: -5.21 eV per atom
- Theoretical density: 5.98 g/cm3

a b c (Å): 8.948 8.948 3.818
angles (deg): 90.00 90.00 90.00
Space group I-42d (No. 122)
Unique sites:
Ir: 0.000 0.000 0.000 x4
C: 0.000 0.000 0.500 x4
Cl: 0.096 0.250 0.125 x8

=====

[6]
BiSeN2F | GGA-PBEsol | optimized geometry

Computed properties:
- Electronic total energy: -4.86 eV per atom
- Theoretical density: 8.41 g/cm3

a b c (Å): 4.072 4.072 3.991
angles (deg): 90.00 90.00 90.00
Space group P4/mmm (No. 123)
Unique sites:
Bi: 0.000 0.000 0.000 x1
Se: 0.500 0.500 0.500 x1
N: 0.000 0.500 0.500 x2
F: 0.500 0.500 0.000 x1